(one)
Density functional theory data (PBE) for crystalline CeAl2Ge2 at its relaxed geometry.

Computed properties:
Symmetry ... No. 164
D(E_F) ... 6.73 states/eV per cell

Geometry as POSCAR:
```
CeAl2Ge2
1.0
4.283 0.000 0.000
-2.141 3.709 0.000
0.000 0.000 6.884
Ce Al Ge
1 2 2
Cartesian
0.000 0.000 0.000
0.000 2.473 4.415
2.141 1.236 2.468
2.141 1.236 5.067
0.000 2.473 1.816
```

(two)
Density functional theory data (PBE) for crystalline CeAl2Ge2 at its relaxed geometry.

Computed properties:
Symmetry ... No. 139
D(E_F) ... 6.72 states/eV per cell

Geometry as POSCAR:
```
CeAl2Ge2
1.0
4.163 0.000 -2.344
-1.318 3.956 -2.341
0.444 0.603 5.657
Al Ge Ce
2 2 1
Cartesian
3.208 1.562 -1.605
0.081 2.997 2.578
1.154 1.592 4.485
2.135 2.967 -3.512
2.303 0.301 1.657
```

Relative stability in meV/atom, measured from the most stable structure: (one) 0; (two) 104